No. 1
Crystalline SrPPt2 at its relaxed geometry. Source: Alexandria, functional PBEsol.

Geometry as extended XYZ:
```
8
Lattice="-2.550 2.550 7.571 2.550 -2.550 7.571 2.550 2.550 -7.571" Properties=species:S:1:pos:R:3 pbc="T T T"
Sr 0.000 0.000 0.000
Sr 0.000 2.550 3.785
P 2.550 0.000 3.785
P 0.000 0.000 7.571
Pt 1.275 -0.140 5.678
Pt 2.410 1.275 1.893
Pt 1.275 2.690 -1.893
Pt 0.140 1.275 9.463
```

space-group type = No. 122

No. 2
Crystalline SrPPt at its relaxed geometry. Source: Alexandria, functional PBEsol.

Geometry as extended XYZ:
```
3
Lattice="4.075 0.000 0.000 -2.038 3.529 0.000 0.000 0.000 4.474" Properties=species:S:1:pos:R:3 pbc="T T T"
Sr 0.000 0.000 0.000
P 0.000 2.353 2.237
Pt 2.038 1.176 2.237
```

space-group type = No. 187

| no. | DFT formation energy (eV/atom) | M_tot (μB/f.u.) |
| --- | --- | --- |
| 1 | -0.77 | 0.00 |
| 2 | -1.10 | 0.00 |